[1]
A plane-wave DFT calculation with PBE was carried out for crystalline RbZn13 at its relaxed geometry.

The value obtained for the total magnetic moment is 0.00 μB/f.u. The calculation puts the calculated total energy at -144.17 eV/cell. The calculation puts the formation energy at -3 kJ per mole of atoms.

The structure belongs to space group Fm-3c (No. 226); the cell edges are 12.409, 12.409 and 12.409 Å and the angles 90.00°, 90.00° and 90.00°. The inequivalent atoms are Rb at (0.250, 0.250, 0.250), Zn at (0.000, 0.000, 0.000) and Zn at (0.000, 0.119, 0.180).

---

[2]
A plane-wave DFT calculation with PBE was carried out for crystalline CuIrBr6 at its relaxed geometry.

As for the energy above the most stable polymorph in this dataset: 0.0621 eV per atom. The value obtained for the total magnetic moment is 0.34 μB/f.u. The calculation puts the calculated total energy at -24.10 eV/cell.

The structure belongs to space group P-1 (No. 2); the cell edges are 6.393, 6.403 and 6.814 Å and the angles 90.28°, 117.77° and 119.89°. The inequivalent atoms are Cu at (0.000, 0.000, 0.000), Ir at (0.000, 0.500, 0.500), Br at (0.157, 0.739, 0.253), Br at (0.165, 0.905, 0.748) and Br at (0.486, 0.582, 0.747).

---

[3]
A plane-wave DFT calculation with PBE was carried out for crystalline CaEr2Pd2 at its relaxed geometry.

As for the energy above the most stable polymorph in this dataset: 0.0000 eV per atom. The value obtained for the total magnetic moment is 0.00 μB/f.u. The calculation puts the calculated total energy at -50.17 eV/cell. The calculation puts the formation energy at -69 kJ per mole of atoms.

The structure belongs to space group P4/mbm (No. 127); the cell edges are 7.976, 7.976 and 3.770 Å and the angles 90.00°, 90.00° and 90.00°. The inequivalent atoms are Ca at (0.000, 0.000, 0.000), Er at (0.157, 0.343, 0.500) and Pd at (0.133, 0.633, 0.000).

---

[4]
A plane-wave DFT calculation with PBE was carried out for crystalline PmDyMnCd at its relaxed geometry.

The value obtained for the total magnetic moment is 3.21 μB/f.u. The calculation puts the calculated total energy at -77.78 eV/cell. The calculation puts the formation energy at 0 kJ per mole of atoms.

The structure belongs to space group F-43m (No. 216); the cell edges are 7.393, 7.393 and 7.393 Å and the angles 90.00°, 90.00° and 90.00°. The inequivalent atoms are Pm at (0.000, 0.000, 0.000), Dy at (0.000, 0.000, 0.500), Mn at (0.250, 0.250, 0.750) and Cd at (0.250, 0.250, 0.250).

---

[5]
A plane-wave DFT calculation with PBE was carried out for crystalline La2HgI2 at its relaxed geometry.

As for the energy above the most stable polymorph in this dataset: 0.2190 eV per atom. The value obtained for the total magnetic moment is 0.00 μB/f.u. The calculation puts the calculated total energy at -34.34 eV/cell.

The structure belongs to space group P4/mbm (No. 127); the cell edges are 8.905, 8.905 and 4.158 Å and the angles 90.00°, 90.00° and 90.00°. The inequivalent atoms are La at (0.160, 0.340, 0.000), Hg at (0.000, 0.000, 0.000) and I at (0.137, 0.637, 0.500).

---

[6]
A plane-wave DFT calculation with PBE was carried out for crystalline Cd2RuO5 at its relaxed geometry.

As for the energy above the most stable polymorph in this dataset: 0.0084 eV per atom. The value obtained for the total magnetic moment is 2.00 μB/f.u. The calculation puts the calculated total energy at -170.31 eV/cell.

The structure belongs to space group Cmcm (No. 63); the cell edges are 3.792, 11.646 and 10.778 Å and the angles 90.00°, 90.00° and 90.00°. The inequivalent atoms are Cd at (0.000, 0.140, 0.068), Ru at (0.000, 0.155, 0.750), O at (0.000, 0.046, 0.622), O at (0.000, 0.278, 0.616) and O at (0.000, 0.331, 0.250).

---

[7]
A plane-wave DFT calculation with PBE was carried out for crystalline LiPm2PdO6 at its relaxed geometry.

The value obtained for the total magnetic moment is 0.03 μB/f.u. The calculation puts the calculated total energy at -135.34 eV/cell.

The structure belongs to space group P2_1/c (No. 14); the cell edges are 5.413, 5.850 and 9.352 Å and the angles 90.00°, 124.88° and 90.00°. The inequivalent atoms are Li at (0.000, 0.000, 0.000), Pm at (0.229, 0.080, 0.749), Pd at (0.500, 0.000, 0.500), O at (0.143, 0.186, 0.448), O at (0.269, 0.705, 0.447) and O at (0.355, 0.031, 0.251).

---

[8]
A plane-wave DFT calculation with PBE was carried out for crystalline LiSm2Dy at its relaxed geometry.

As for the energy above the most stable polymorph in this dataset: 0.0982 eV per atom. The value obtained for the total magnetic moment is 0.00 μB/f.u. The calculation puts the calculated total energy at -45.88 eV/cell. The calculation puts the formation energy at 16 kJ per mole of atoms.

The structure belongs to space group R-3m (No. 166, hexagonal axes); the cell edges are 3.4969, 3.4969 and 36.9052 Å and the angles 90.00°, 90.00° and 120.00°. The inequivalent atoms are Li at (0.0000, 0.0000, 0.0000), Sm at (0.0000, 0.0000, 0.0889) and Dy at (0.0000, 0.0000, 0.5000).